The following is a GGA+U calculation of Li3Co3CuO8 after structural relaxation, from Alexandria.

The structure in POSCAR format:
```
Li3Co3CuO8
1.0
2.895 1.671 4.850
-2.895 1.671 4.850
0.000 -3.343 4.850
Li Co Cu O
3 3 1 8
Cartesian
-1.447 -0.836 4.850
-1.447 0.836 9.699
0.000 1.671 4.850
-2.895 0.000 7.275
-1.447 0.836 2.425
1.447 0.836 2.425
0.000 0.000 7.275
-1.479 -0.854 8.267
0.000 0.000 3.636
0.000 -1.708 6.283
-1.479 0.854 6.283
1.479 -0.854 8.267
0.000 1.708 8.267
0.000 0.000 10.913
1.479 0.854 6.283
```

## Properties
Final energy (eV for the cell shown): -81.52
ρ (g/cm3): 4.59
V (A^3/atom): 9.39
Crystal system: trigonal